[1]
DFT (PBE) results for CoCu2Hg after structural relaxation.

Calculated values
total energy = -3.524 eV/atom
size of the total moment = 1.71 μB/f.u.
DOS at the Fermi energy = 0.824 states/eV per atom

Unit cell a=8.702 b=8.702 c=8.702 alpha=18.56 beta=18.56 gamma=18.56
Element x y z (fractional)
Co: 0.000 0.000 0.000
Cu: 0.259 0.259 0.259
Cu: 0.516 0.516 0.516
Hg: 0.758 0.758 0.758

=====

[2]
DFT (PBE) results for CoCu2Hg after structural relaxation.

Calculated values
total energy = -3.585 eV/atom
size of the total moment = 1.28 μB/f.u.
DOS at the Fermi energy = 1.353 states/eV per atom

Unit cell a=4.653 b=4.653 c=4.653 alpha=130.96 beta=130.96 gamma=71.87
Element x y z (fractional)
Co: 0.000 0.000 0.000
Cu: 0.500 0.500 0.000
Cu: 0.750 0.250 0.500
Hg: 0.250 0.750 0.500

=====

[3]
DFT (PBE) results for Co4CuHg after structural relaxation.

Calculated values
total energy = -5.138 eV/atom
size of the total moment = 6.84 μB/f.u.
DOS at the Fermi energy = 1.183 states/eV per atom

Unit cell a=4.817 b=4.817 c=4.817 alpha=60.00 beta=60.00 gamma=60.00
Element x y z (fractional)
Co: 0.376 0.376 0.376
Co: 0.376 0.376 0.873
Co: 0.376 0.873 0.376
Co: 0.873 0.376 0.376
Cu: 0.750 0.750 0.750
Hg: 0.000 0.000 0.000

=====

[4]
DFT (PBE) results for CoCu2Hg after structural relaxation.

Calculated values
total energy = -3.615 eV/atom
size of the total moment = 1.51 μB/f.u.
DOS at the Fermi energy = 1.089 states/eV per atom

Unit cell a=2.963 b=2.892 c=6.596 alpha=90.00 beta=90.11 gamma=90.00
Element x y z (fractional)
Co: 0.000 0.000 0.000
Cu: 0.000 0.000 0.580
Cu: 0.500 0.500 0.793
Hg: 0.500 0.500 0.286

=====

[5]
DFT (PBE) results for CoCu2Hg after structural relaxation.

Calculated values
total energy = -3.349 eV/atom
size of the total moment = 1.37 μB/f.u.
DOS at the Fermi energy = 1.819 states/eV per atom

Unit cell a=9.433 b=9.433 c=9.433 alpha=157.41 beta=157.41 gamma=32.16
Element x y z (fractional)
Co: 0.000 0.000 0.000
Co: 0.750 0.250 0.500
Cu: 0.103 0.625 0.978
Cu: 0.375 0.353 0.478
Cu: 0.647 0.125 0.022
Cu: 0.875 0.897 0.522
Hg: 0.250 0.750 0.500
Hg: 0.500 0.500 0.000

=====

[6]
DFT (PBE) results for CoCu2Hg after structural relaxation.

Calculated values
total energy = -3.606 eV/atom
size of the total moment = 0.93 μB/f.u.
DOS at the Fermi energy = 0.652 states/eV per atom

Unit cell a=3.813 b=3.813 c=3.852 alpha=90.00 beta=90.00 gamma=90.00
Element x y z (fractional)
Co: 0.000 0.000 0.000
Cu: 0.000 0.500 0.500
Cu: 0.500 0.000 0.500
Hg: 0.500 0.500 0.000

=====

[7]
DFT (PBE) results for CoCu3Hg after structural relaxation.

Calculated values
total energy = -3.060 eV/atom
size of the total moment = 1.86 μB/f.u.
DOS at the Fermi energy = 1.203 states/eV per atom

Unit cell a=4.451 b=4.451 c=4.451 alpha=90.00 beta=90.00 gamma=90.00
Element x y z (fractional)
Co: 0.000 0.000 0.000
Cu: 0.000 0.000 0.500
Cu: 0.000 0.500 0.000
Cu: 0.500 0.000 0.000
Hg: 0.500 0.500 0.500

=====

[8]
DFT (PBE) results for CoCu2Hg after structural relaxation.

Calculated values
total energy = -3.552 eV/atom
size of the total moment = 0.82 μB/f.u.
DOS at the Fermi energy = 1.684 states/eV per atom

Unit cell a=4.295 b=4.295 c=4.295 alpha=60.00 beta=60.00 gamma=60.00
Element x y z (fractional)
Co: 0.000 0.000 0.000
Cu: 0.500 0.500 0.500
Cu: 0.750 0.750 0.750
Hg: 0.250 0.250 0.250

=====

[9]
DFT (PBE) results for CoCu2Hg after structural relaxation.

Calculated values
total energy = -3.566 eV/atom
size of the total moment = 1.43 μB/f.u.
DOS at the Fermi energy = 0.943 states/eV per atom

Unit cell a=4.641 b=4.641 c=4.661 alpha=101.74 beta=101.74 gamma=35.42
Element x y z (fractional)
Co: 0.000 0.000 0.000
Cu: 0.486 0.486 0.452
Cu: 0.741 0.741 0.225
Hg: 0.244 0.244 0.729

=====

[10]
DFT (PBE) results for La2CoCuHg after structural relaxation.

Calculated values
total energy = -4.420 eV/atom
size of the total moment = 0.00 μB/f.u.
DOS at the Fermi energy = 0.748 states/eV per atom

Unit cell a=5.199 b=5.199 c=4.721 alpha=90.00 beta=90.00 gamma=90.00
Element x y z (fractional)
La: 0.000 0.500 0.000
La: 0.500 0.000 0.000
Co: 0.000 0.000 0.000
Cu: 0.000 0.000 0.500
Hg: 0.500 0.500 0.500

=====

[11]
DFT (PBE) results for La6CoCuHg2 after structural relaxation.

Calculated values
total energy = -4.329 eV/atom
size of the total moment = 0.00 μB/f.u.
DOS at the Fermi energy = 1.148 states/eV per atom

Unit cell a=7.250 b=7.284 c=7.295 alpha=67.39 beta=66.31 gamma=67.01
Element x y z (fractional)
La: 0.000 0.000 0.000
La: 0.090 0.895 0.515
La: 0.370 0.426 0.204
La: 0.462 0.319 0.720
La: 0.575 0.799 0.627
La: 0.886 0.521 0.090
Co: 0.231 0.660 0.859
Cu: 0.730 0.160 0.359
Hg: 0.491 0.922 0.114
Hg: 0.970 0.397 0.606

=====

[12]
DFT (PBE) results for CoCu2HgPt after structural relaxation.

Calculated values
total energy = -2.905 eV/atom
size of the total moment = 1.78 μB/f.u.
DOS at the Fermi energy = 1.076 states/eV per atom

Unit cell a=4.687 b=4.687 c=4.762 alpha=90.00 beta=90.00 gamma=90.00
Element x y z (fractional)
Co: 0.000 0.000 0.000
Cu: 0.000 0.500 0.500
Cu: 0.500 0.000 0.500
Hg: 0.000 0.000 0.500
Pt: 0.500 0.500 0.000

=====

- What is the size of the total moment in the eleventh record?
  0.00 μB/f.u.

=====

- Among the records above, which one has the lowest total energy?
  Co4CuHg

=====

- The highest DOS at the Fermi energy belongs to which entry?
  number 5